Entry 1:
First-principles (PBE) data for a relaxed KDy6Se8 crystal, as listed in Alexandria.

Properties
The density comes out at 6.3 g/cm³. The value obtained for the formation energy without anion corrections is -1.727 eV per atom. Its electronic total energy is -82.50 eV/cell.

Cell: 4.176 10.987 10.987 Å, 120.00 90.00 90.00°
Atoms (fractional coordinates):
Dy1 0.750 0.138 0.482
Se1 0.749 0.044 0.689
Dy2 0.750 0.344 0.862
Se2 0.251 0.689 0.644
Se3 0.250 0.333 0.667
Dy3 0.250 0.862 0.518
Dy4 0.750 0.518 0.656
K1 0.500 0.000 0.000
Se4 0.251 0.956 0.311
Dy5 0.250 0.656 0.138
Se5 0.251 0.356 0.044
Se6 0.749 0.311 0.356
Se7 0.750 0.667 0.333
Se8 0.749 0.644 0.956
Dy6 0.250 0.482 0.344

***

Entry 2:
First-principles (PBE) data for a relaxed Ca3Ga2Au7 crystal, as listed in Alexandria.

Properties
The density comes out at 9.9 g/cm³. Its polymorph energy (0 for the lowest one) is 46 meV/atom. Its electronic total energy is -40.94 eV/cell.

Cell: 3.825 4.812 15.144 Å, 99.15 90.00 90.00°
Atoms (fractional coordinates):
Au1 0.500 0.859 0.717
Ca1 0.500 0.700 0.400
Au2 0.000 0.614 0.228
Au3 0.000 0.386 0.772
Au4 0.500 0.141 0.283
Ca2 0.500 0.300 0.600
Ca3 0.500 0.500 0.000
Au5 0.000 0.218 0.436
Ga1 0.000 0.083 0.165
Au6 0.000 0.782 0.564
Ga2 0.000 0.917 0.835
Au7 0.000 0.000 0.000

***

Entry 3:
First-principles (PBE) data for a relaxed LiPtCl3 crystal, as listed in Alexandria.

Properties
The density comes out at 4.3 g/cm³. Its polymorph energy (0 for the lowest one) is 0 meV/atom. The value obtained for the formation energy without anion corrections is -0.619 eV per atom. Its electronic total energy is -16.59 eV/cell.

Cell: 4.923 4.923 4.923 Å, 90.00 90.00 90.00°
Atoms (fractional coordinates):
Cl1 0.000 0.000 0.500
Cl2 0.500 0.000 0.000
Li1 0.500 0.500 0.500
Pt1 0.000 0.000 0.000
Cl3 0.000 0.500 0.000

***

Entry 4:
First-principles (PBE) data for a relaxed Te4PdPt2 crystal, as listed in Alexandria.

Properties
The density comes out at 9.8 g/cm³. Its polymorph energy (0 for the lowest one) is 0 meV/atom. The value obtained for the formation energy without anion corrections is -0.336 eV per atom. Its electronic total energy is -32.20 eV/cell.

Cell: 4.200 7.015 7.083 Å, 60.32 90.09 72.93°
Atoms (fractional coordinates):
Pt1 0.256 0.488 0.266
Te1 0.872 0.252 0.533
Te2 0.635 0.730 0.972
Pt2 0.744 0.512 0.734
Pd1 0.000 0.000 0.000
Te3 0.365 0.270 0.028
Te4 0.128 0.748 0.467

***

Entry 5:
First-principles (PBE) data for a relaxed CaCuAsN2 crystal, as listed in Alexandria.

Properties
The density comes out at 3.8 g/cm³. The value obtained for the formation energy without anion corrections is 1.847 eV per atom. Its electronic total energy is -18.17 eV/cell.

Cell: 4.263 5.031 4.263 Å, 90.00 90.00 90.00°
Atoms (fractional coordinates):
N1 0.500 0.000 0.000
As1 0.500 0.500 0.500
Cu1 0.000 0.500 0.000
Ca1 0.000 0.000 0.000
N2 0.000 0.000 0.500

***

Entry 6:
First-principles (PBE) data for a relaxed Hf2ZrPd2 crystal, as listed in Alexandria.

Properties
The density comes out at 11.3 g/cm³. Its polymorph energy (0 for the lowest one) is 121 meV/atom. Its electronic total energy is -81.64 eV/cell.

Cell: 7.883 7.883 3.130 Å, 90.00 90.00 90.00°
Atoms (fractional coordinates):
Hf1 0.656 0.156 0.000
Pd1 0.640 0.860 0.500
Pd2 0.140 0.640 0.500
Pd3 0.860 0.360 0.500
Pd4 0.360 0.140 0.500
Zr1 0.500 0.500 0.000
Hf2 0.156 0.344 0.000
Hf3 0.344 0.844 0.000
Hf4 0.844 0.656 0.000
Zr2 0.000 0.000 0.000